An optimized crystal structure of TbPm6Nd2Sm, computed with PBE.

a = 9.2128 Å, b = 15.3444 Å, c = 9.8975 Å
α = 90.00°, β = 98.78°, γ = 90.00°
Last column: nearest neighbours and their distance in Å.
Space group C2/c (No. 15)
One atom of each set of equivalent atoms:
Tb: 0.0000 0.0927 0.2500 [4 per cell]  6 Pm 3.47-3.64, 2 Nd 3.62
Pm: 0.0659 0.3133 0.4443 [8 per cell]  7 Pm 3.46-3.85, 1 Nd 3.56, 1 Sm 3.70
Pm: 0.1012 0.1045 0.6202 [8 per cell]  3 Nd 3.31-3.52, 4 Pm 3.32-3.64, 2 Tb 3.47-3.64
Pm: 0.2044 0.2777 0.8122 [8 per cell]  3 Pm 3.32-3.71, 1 Nd 3.47, 1 Tb 3.50, 1 Sm 3.65
Nd: 0.2447 0.4497 0.0423 [8 per cell]  5 Pm 3.31-3.56, 2 Sm 3.42-3.44, 1 Tb 3.62
Sm: 0.0000 0.4811 0.7500 [4 per cell]  4 Nd 3.42-3.44, 4 Pm 3.65-3.70

Calculated values
- Density of states at the Fermi level: 60.0 states/eV/cell
- Formation enthalpy at 0 K: 11 kJ/mol of atoms